1.
Entry from Alexandria: a relaxed Hg2AsP crystal (PBE).

a = 10.157 Å, b = 10.157 Å, c = 10.157 Å
α = 17.67°, β = 17.67°, γ = 17.67°
Atoms (fractional coordinates):
1 As 0.750 0.750 0.750
2 Hg 0.998 0.998 0.998
3 P 0.250 0.250 0.250
4 Hg 0.502 0.502 0.502

Results
The calculation puts the formation energy at 0.581 eV per atom. Its symmetry is R-3m. The calculation puts the final energy at -2.085 eV/atom. Its calculated density is 9.99 Mg/m³. The value obtained for the relative energy among the computed polymorphs is 0.485 eV per atom. Its crystal system is trigonal.



2.
Entry from Alexandria: a relaxed Hg2AsP crystal (PBE).

a = 3.355 Å, b = 3.355 Å, c = 8.190 Å
α = 90.00°, β = 90.00°, γ = 109.76°
Atoms (fractional coordinates):
1 Hg 0.000 0.000 0.489
2 Hg 0.000 0.000 0.011
3 P 0.500 0.500 0.250
4 As 0.500 0.500 0.750

Results
The calculation puts the formation energy at 0.520 eV per atom. Its symmetry is Cmmm. The calculation puts the final energy at -2.146 eV/atom. Its calculated density is 9.70 Mg/m³. The value obtained for the relative energy among the computed polymorphs is 0.424 eV per atom. Its crystal system is orthorhombic.



3.
Entry from Alexandria: a relaxed HgAsP crystal (PBE).

a = 7.068 Å, b = 7.068 Å, c = 7.068 Å
α = 153.61°, β = 153.61°, γ = 37.67°
Atoms (fractional coordinates):
1 Hg 0.330 0.330 0.000
2 P 0.624 0.624 0.000
3 As 0.046 0.046 0.000

Results
The calculation puts the formation energy at 0.297 eV per atom. Its symmetry is I4mm. The calculation puts the final energy at -3.156 eV/atom. Its calculated density is 7.30 Mg/m³. The value obtained for the relative energy among the computed polymorphs is 0.251 eV per atom. Its crystal system is tetragonal.



4.
Entry from Alexandria: a relaxed Hg2AsP crystal (PBE).

a = 3.874 Å, b = 4.908 Å, c = 4.929 Å
α = 72.21°, β = 90.00°, γ = 90.00°
Atoms (fractional coordinates):
1 Hg 0.000 0.489 0.489
2 P 0.500 0.250 0.250
3 As 0.500 0.750 0.750
4 Hg 0.000 0.011 0.011

Results
The calculation puts the formation energy at 0.344 eV per atom. Its symmetry is P2/m. The calculation puts the final energy at -2.322 eV/atom. Its calculated density is 9.44 Mg/m³. The value obtained for the relative energy among the computed polymorphs is 0.247 eV per atom. Its crystal system is monoclinic.



5.
Entry from Alexandria: a relaxed HgAsP crystal (PBE).

a = 4.446 Å, b = 6.204 Å, c = 6.585 Å
α = 102.95°, β = 108.68°, γ = 104.94°
Atoms (fractional coordinates):
1 P 0.477 0.137 0.654
2 P 0.006 0.329 0.912
3 Hg 0.809 0.728 0.249
4 Hg 0.719 0.209 0.280
5 As 0.192 0.996 0.878
6 As 0.262 0.457 0.671

Results
The calculation puts the formation energy at 0.109 eV per atom. Its symmetry is P1. The calculation puts the final energy at -3.344 eV/atom. Its calculated density is 6.50 Mg/m³. The value obtained for the relative energy among the computed polymorphs is 0.063 eV per atom. Its crystal system is triclinic.



6.
Entry from Alexandria: a relaxed HgAsP crystal (PBE).

a = 3.459 Å, b = 3.459 Å, c = 7.827 Å
α = 90.00°, β = 90.00°, γ = 120.00°
Atoms (fractional coordinates):
1 P 0.667 0.333 0.745
2 Hg 0.333 0.667 0.341
3 As 0.000 0.000 0.914

Results
The calculation puts the formation energy at 0.047 eV per atom. Its symmetry is P3m1. The calculation puts the final energy at -3.406 eV/atom. Its calculated density is 6.27 Mg/m³. The value obtained for the relative energy among the computed polymorphs is 0.001 eV per atom. Its crystal system is trigonal.



7.
Entry from Alexandria: a relaxed HgAsP crystal (PBE).

a = 4.886 Å, b = 5.091 Å, c = 6.568 Å
α = 73.31°, β = 75.77°, γ = 73.37°
Atoms (fractional coordinates):
1 As 0.922 0.975 0.609
2 Hg 0.250 0.234 0.268
3 P 0.491 0.541 0.926
4 Hg 0.732 0.715 0.278
5 As 0.952 0.218 0.885
6 P 0.261 0.532 0.676

Results
The calculation puts the formation energy at 0.104 eV per atom. Its symmetry is P1. The calculation puts the final energy at -3.350 eV/atom. Its calculated density is 6.90 Mg/m³. The value obtained for the relative energy among the computed polymorphs is 0.057 eV per atom. Its crystal system is triclinic.



8.
Entry from Alexandria: a relaxed HgAs2P crystal (PBE).

a = 5.746 Å, b = 5.746 Å, c = 5.746 Å
α = 146.32°, β = 129.15°, γ = 62.39°
Atoms (fractional coordinates):
1 As 0.947 0.947 0.000
2 As 0.553 0.553 0.000
3 P 0.750 0.250 0.500
4 Hg 0.250 0.750 0.500

Results
The calculation puts the formation energy at 0.442 eV per atom. Its symmetry is Immm. The calculation puts the final energy at -3.311 eV/atom. Its calculated density is 7.84 Mg/m³. The value obtained for the relative energy among the computed polymorphs is 0.207 eV per atom. Its crystal system is orthorhombic.